Compound: Pm12Co3O5
Source: Alexandria
Functional: PBE+U
Structure: relaxed

```
data_Pm12Co3O5
_chemical_formula_sum 'Pm96 Co24 O40'
_symmetry_space_group_name_H-M 'I a -3 d'
_symmetry_Int_Tables_number 230
_symmetry_space_group_name_Hall '-I 4bd 2c 3'
_cell_length_a 15.685
_cell_length_b 15.685
_cell_length_c 15.685
_cell_angle_alpha 90.00
_cell_angle_beta 90.00
_cell_angle_gamma 90.00
loop_
_atom_site_label
_atom_site_type_symbol
_atom_site_fract_x
_atom_site_fract_y
_atom_site_fract_z
Pm1 Pm 0.036 0.055 0.649
Co1 Co 0.000 0.250 0.125
O1 O 0.000 0.000 0.000
O2 O 0.000 0.250 0.375
```

Values from the calculation:
Electronic total energy   -6.124 eV/atom